1.
{"formula": "Ta2WC", "functional": "PBE", "state": "optimized geometry", "lattice_angstrom": [[2.781, 0.000, 0.000], [0.000, 2.781, 0.000], [0.000, 0.000, 7.473]], "species": ["W", "Ta", "Ta", "C"], "fractional_positions": [[0.000, 0.000, 0.577], [0.500, 0.500, 0.259], [0.000, 0.000, 0.934], [0.500, 0.500, 0.730]], "vol_a3_per_atom": 14.45, "delta_e_f_ev_per_atom": 0.334, "m_tot_mub_per_cell": 0.00}

***

2.
{"formula": "TaW2C", "functional": "PBE", "state": "optimized geometry", "lattice_angstrom": [[-2.914, 6.449, 1.481], [-5.364, 4.793, 0.726], [-4.239, 4.651, 3.560]], "species": ["Ta", "W", "W", "C"], "fractional_positions": [[0.774, 0.774, 0.774], [0.226, 0.226, 0.226], [0.998, 0.998, 0.998], [0.502, 0.502, 0.502]], "vol_a3_per_atom": 14.14, "delta_e_f_ev_per_atom": -0.066, "m_tot_mub_per_cell": 0.00}

***

3.
{"formula": "TaW2C", "functional": "PBE", "state": "optimized geometry", "lattice_angstrom": [[7.190, 0.000, 0.000], [0.000, 7.190, 0.000], [3.595, 3.595, 2.292]], "species": ["W", "W", "W", "W", "C", "C", "Ta", "Ta"], "fractional_positions": [[0.515, 0.125, 0.250], [0.375, 0.485, 0.750], [0.875, 0.765, 0.750], [0.235, 0.625, 0.250], [0.250, 0.750, 0.500], [0.500, 0.500, 0.000], [0.000, 0.000, 0.000], [0.750, 0.250, 0.500]], "vol_a3_per_atom": 14.81, "delta_e_f_ev_per_atom": 0.247, "m_tot_mub_per_cell": 0.00}

***

4.
{"formula": "TaW2C", "functional": "PBE", "state": "optimized geometry", "lattice_angstrom": [[7.282, -0.008, -0.005], [6.644, 2.980, -0.005], [6.644, 1.418, 2.621]], "species": ["C", "W", "W", "Ta"], "fractional_positions": [[0.250, 0.250, 0.250], [0.974, 0.974, 0.974], [0.526, 0.526, 0.526], [0.750, 0.750, 0.750]], "vol_a3_per_atom": 14.27, "delta_e_f_ev_per_atom": 0.041, "m_tot_mub_per_cell": 0.00}

***

5.
{"formula": "TaW2C", "functional": "PBE", "state": "optimized geometry", "lattice_angstrom": [[-4.885, -1.054, 1.399], [-1.286, -4.470, 2.301], [3.508, 3.803, 0.407]], "species": ["W", "W", "Ta", "C"], "fractional_positions": [[0.250, 0.750, 0.500], [0.000, 0.000, 0.000], [0.750, 0.250, 0.500], [0.500, 0.500, 0.000]], "vol_a3_per_atom": 14.42, "delta_e_f_ev_per_atom": 1.205, "m_tot_mub_per_cell": 0.00}

***

6.
{"formula": "TaWC3", "functional": "PBE", "state": "optimized geometry", "lattice_angstrom": [[-3.090, -2.564, 0.434], [1.503, -2.311, -2.951], [2.122, -2.096, 2.722]], "species": ["Ta", "C", "C", "C", "W"], "fractional_positions": [[0.000, 0.000, 0.000], [0.500, 0.000, 0.000], [0.000, 0.000, 0.500], [0.000, 0.500, 0.000], [0.500, 0.500, 0.500]], "vol_a3_per_atom": 13.17, "delta_e_f_ev_per_atom": 2.327, "m_tot_mub_per_cell": 0.00}

***

7.
{"formula": "TaWC3", "functional": "PBE", "state": "optimized geometry", "lattice_angstrom": [[-0.917, -3.281, 2.060], [3.811, -0.384, 1.085], [-0.695, 2.222, 3.229]], "species": ["C", "C", "C", "W", "Ta"], "fractional_positions": [[0.500, 0.000, 0.000], [0.000, 0.500, 0.000], [0.000, 0.000, 0.500], [0.000, 0.000, 0.000], [0.500, 0.500, 0.500]], "vol_a3_per_atom": 12.62, "delta_e_f_ev_per_atom": 1.755, "m_tot_mub_per_cell": 0.00}

***

8.
{"formula": "TaW2C", "functional": "PBE", "state": "optimized geometry", "lattice_angstrom": [[-1.289, -2.472, -3.919], [3.362, -0.119, -1.031], [0.433, -3.016, 1.760]], "species": ["Ta", "W", "W", "C"], "fractional_positions": [[0.500, 0.000, 0.500], [0.000, 0.500, 0.500], [0.000, 0.000, 0.000], [0.500, 0.500, 0.000]], "vol_a3_per_atom": 14.88, "delta_e_f_ev_per_atom": 1.040, "m_tot_mub_per_cell": 0.00}

***

9.
{"formula": "TaW2C", "functional": "PBE", "state": "optimized geometry", "lattice_angstrom": [[-1.015, 0.936, 5.067], [-3.465, -3.019, 2.542], [4.534, 0.492, -2.605]], "species": ["W", "W", "Ta", "C"], "fractional_positions": [[0.564, 0.564, 0.000], [0.936, 0.936, 0.000], [0.250, 0.750, 0.500], [0.750, 0.250, 0.500]], "vol_a3_per_atom": 14.09, "delta_e_f_ev_per_atom": 0.401, "m_tot_mub_per_cell": 0.00}

***

10.
{"formula": "TaW2C", "functional": "PBE", "state": "optimized geometry", "lattice_angstrom": [[3.047, 0.000, 0.000], [0.000, 3.195, -0.001], [0.000, 1.596, 5.741]], "species": ["Ta", "C", "W", "W"], "fractional_positions": [[0.500, 0.724, 0.677], [0.000, 0.276, 0.573], [0.500, 0.430, 0.264], [0.000, 0.070, 0.986]], "vol_a3_per_atom": 13.97, "delta_e_f_ev_per_atom": 0.022, "m_tot_mub_per_cell": 0.00}

***

11.
{"formula": "TaW2C", "functional": "PBE", "state": "optimized geometry", "lattice_angstrom": [[4.895, 0.007, -0.001], [1.475, 4.667, 0.001], [-2.377, -3.438, 2.547]], "species": ["C", "W", "W", "Ta"], "fractional_positions": [[0.504, 0.504, 0.000], [0.690, 0.190, 0.500], [0.998, 0.998, 0.000], [0.308, 0.808, 0.500]], "vol_a3_per_atom": 14.54, "delta_e_f_ev_per_atom": 0.406, "m_tot_mub_per_cell": 0.00}

***

12.
{"formula": "Ta2WC", "functional": "PBE", "state": "optimized geometry", "lattice_angstrom": [[3.325, 0.000, 0.000], [0.000, 4.303, 0.000], [0.000, 0.000, 4.128]], "species": ["Ta", "Ta", "W", "C"], "fractional_positions": [[0.500, 0.500, 0.000], [0.000, 0.000, 0.000], [0.500, 0.000, 0.500], [0.000, 0.500, 0.500]], "vol_a3_per_atom": 14.76, "delta_e_f_ev_per_atom": 1.006, "m_tot_mub_per_cell": 0.00}

***

In order of appearance, VASP energy = -44.5; -47.2; -92.0; -46.8; -42.2; -40.8; -43.7; -42.8; -45.4; -46.9; -45.4; -41.9 eV for the cell shown.